[1]
This record from OQMD describes a relaxed Tb2TmTl3CuAg2 crystal. The functional is PBE.

```
Tb2TmTl3CuAg2
1.0
3.8629 0.0000 0.0000
0.0000 6.8196 3.9523
0.0000 -6.8196 3.9523
Tl Ag Tm Cu Tb
3 2 1 1 2
Direct
0.5000 0.0003 0.2583
0.5000 0.2583 0.0003
0.5000 0.7429 0.7429
0.5000 0.6637 0.3348
0.5000 0.3348 0.6637
0.0000 0.3959 0.3959
0.0000 0.0018 0.0018
0.0000 0.6024 0.9999
0.0000 0.9999 0.6024
```

Properties
Energy: -3.644 eV/atom



[2]
This record from OQMD describes a relaxed NpGaAg crystal. The functional is PBE.

```
NpGaAg
1.0
0.0000 3.3217 3.3217
3.3217 0.0000 3.3217
3.3217 3.3217 0.0000
Ga Np Ag
1 1 1
Direct
0.2500 0.2500 0.2500
0.7500 0.7500 0.7500
0.0000 0.0000 0.0000
```

Properties
Energy: -5.829 eV/atom



[3]
This record from OQMD describes a relaxed Zr3AlIn2Pd3 crystal. The functional is PBE.

```
Zr3AlIn2Pd3
1.0
-0.7503 -3.3637 -1.0413
-4.8239 -0.6758 5.6589
-2.2460 2.5582 -6.6453
Al Pd Zr In
1 3 3 2
Direct
0.0000 0.2642 0.2642
0.5000 0.0211 0.0211
0.0000 0.6540 0.3291
0.0000 0.3291 0.6540
0.5000 0.0072 0.4009
0.5000 0.5902 0.5902
0.5000 0.4009 0.0072
0.0000 0.9995 0.7337
0.0000 0.7337 0.9995
```

Properties
Energy: -6.253 eV/atom



[4]
This record from OQMD describes a relaxed CsFeAgTe2S crystal. The functional is PBE.

```
CsFeAgTe2S
1.0
0.4739 7.5362 -3.5250
-4.1223 -6.0592 3.9669
2.9873 4.4272 9.8665
Te Ag S Cs Fe
4 2 2 2 2
Direct
0.8923 0.1077 0.0303
0.1077 0.8923 0.9697
0.1077 0.8923 0.5303
0.8923 0.1077 0.4697
0.0302 0.9698 0.7500
0.9698 0.0302 0.2500
0.4368 0.5632 0.7500
0.5632 0.4368 0.2500
0.7589 0.2411 0.7500
0.2411 0.7589 0.2500
0.5000 0.5000 0.0000
0.5000 0.5000 0.5000
```

Properties
Energy: -3.914 eV/atom



[5]
This record from OQMD describes a relaxed PmPrSN2 crystal. The functional is PBE.

```
PmPrSN2
1.0
4.0256 0.0000 0.0000
-2.0128 3.4862 0.0000
0.0000 0.0000 6.8503
N Pr Pm S
2 1 1 1
Direct
0.6667 0.3333 0.6318
0.3333 0.6667 0.3767
0.6667 0.3333 0.2745
0.3333 0.6667 0.7219
0.0000 0.0000 0.9952
```

Properties
Energy: -7.084 eV/atom



[6]
This record from OQMD describes a relaxed FeSe crystal. The functional is PBE.

```
FeSe
1.0
4.2896 0.0000 0.0000
0.0000 4.2896 0.0000
0.0000 0.0000 3.0421
Se Fe
2 2
Direct
0.5000 0.5000 0.0000
0.0000 0.0000 0.0000
0.5000 0.0000 0.5025
0.0000 0.5000 0.4975
```

Properties
Energy: -5.663 eV/atom



[7]
This record from OQMD describes a relaxed PrSm2Cd3Pt2Au crystal. The functional is PBE.

```
PrSm2Cd3Pt2Au
1.0
4.0004 0.0000 0.0000
0.0000 6.7499 3.8831
0.0000 -6.7499 3.8831
Sm Cd Pt Pr Au
2 3 2 1 1
Direct
0.0000 0.9997 0.5892
0.0000 0.5892 0.9997
0.5000 0.7420 0.7420
0.5000 0.9986 0.2587
0.5000 0.2587 0.9986
0.5000 0.6701 0.3328
0.5000 0.3328 0.6701
0.0000 0.4110 0.4110
0.0000 0.9980 0.9980
```

Properties
Energy: -4.385 eV/atom
Formation energy from the elements: -0.80 eV/atom



[8]
This record from OQMD describes a relaxed Pr2GeICl crystal. The functional is PBE.

```
Pr2GeICl
1.0
-3.1317 2.7871 1.1403
-1.0058 -4.1054 -1.0048
1.1917 -2.7204 9.9218
I Cl Pr Ge
1 1 2 1
Direct
0.3333 0.6667 0.1469
0.6667 0.3333 0.8214
0.6667 0.3333 0.3485
0.3333 0.6667 0.6740
0.0000 0.0000 0.5092
```

Properties
Energy: -4.943 eV/atom



[9]
This record from OQMD describes a relaxed SbIr crystal. The functional is PBE.

```
SbIr
1.0
-1.2955 1.2362 3.6221
-2.5441 -0.0741 -3.1383
-1.4278 -5.2506 1.2813
Ir Sb
2 2
Direct
0.0000 0.0000 0.0000
0.0000 0.0000 0.5000
0.6667 0.3334 0.7500
0.3333 0.6666 0.2500
```

Properties
Energy: -6.686 eV/atom



[10]
This record from OQMD describes a relaxed BiTe2Au crystal. The functional is PBE.

```
BiTe2Au
1.0
0.0000 3.7568 3.7568
3.7568 0.0000 3.7568
3.7568 3.7568 0.0000
Bi Te Au
1 2 1
Direct
0.5000 0.5000 0.5000
0.0000 0.0000 0.0000
0.7500 0.7500 0.7500
0.2500 0.2500 0.2500
```

Properties
Energy: -3.145 eV/atom



[11]
This record from OQMD describes a relaxed ZrHg2Ir crystal. The functional is PBE.

```
ZrHg2Ir
1.0
0.0000 3.3831 3.3831
3.3831 0.0000 3.3831
3.3831 3.3831 0.0000
Ir Hg Zr
1 2 1
Direct
0.2500 0.2500 0.2500
0.7500 0.7500 0.7500
0.0000 0.0000 0.0000
0.5000 0.5000 0.5000
```

Properties
Energy: -4.530 eV/atom
Formation energy from the elements: -0.03 eV/atom



[12]
This record from OQMD describes a relaxed GaHg crystal. The functional is PBE.

```
GaHg
1.0
0.0000 3.1194 3.1194
3.1194 0.0000 3.1194
3.1194 3.1194 0.0000
Ga Hg
1 1
Direct
0.0000 0.0000 0.0000
0.2500 0.2500 0.2500
```

Properties
Energy: -1.361 eV/atom



[13]
This record from OQMD describes a relaxed ErAsN2O crystal. The functional is PBE.

```
ErAsN2O
1.0
2.8756 -3.4966 2.9649
-5.3208 -0.6243 -0.7653
0.5270 0.1871 -5.3827
As O N Er
2 2 4 2
Direct
0.7845 0.2845 0.5000
0.7845 0.7845 0.0000
0.8748 0.0263 0.3485
0.6778 0.5263 0.6515
0.2834 0.9776 0.1903
0.7873 0.4776 0.1943
0.7873 0.0930 0.8097
0.2834 0.5930 0.8057
0.2665 0.5378 0.2287
0.3092 0.0378 0.7713
```

Properties
Energy: -6.943 eV/atom



[14]
This record from OQMD describes a relaxed Cs3HgCl5 crystal. The functional is PBE.

```
Cs3HgCl5
1.0
8.9714 0.0000 0.0000
0.0000 10.8939 0.0000
0.0000 0.0000 13.6401
Cl Hg Cs
20 4 12
Direct
0.1615 0.7500 0.2373
0.6615 0.7500 0.2627
0.6845 0.9515 0.5675
0.6845 0.5485 0.5675
0.3155 0.4515 0.4325
0.3385 0.2500 0.7373
0.9652 0.2500 0.4889
0.3761 0.7500 0.7068
0.5348 0.7500 0.9889
0.1845 0.9515 0.9325
0.8385 0.2500 0.7627
0.3155 0.0485 0.4325
0.1845 0.5485 0.9325
0.1240 0.2500 0.2068
0.8155 0.0485 0.0675
0.0348 0.7500 0.5111
0.6239 0.2500 0.2932
0.4652 0.2500 0.0111
0.8761 0.7500 0.7932
0.8155 0.4515 0.0675
0.7060 0.2500 0.1174
0.2940 0.7500 0.8826
0.2060 0.2500 0.3826
0.7940 0.7500 0.6174
0.5898 0.0248 0.8334
0.9118 0.7500 0.0496
0.0898 0.0248 0.6666
0.4102 0.5248 0.1666
0.9102 0.5248 0.3334
0.4118 0.7500 0.4504
0.5882 0.2500 0.5496
0.4102 0.9752 0.1666
0.0898 0.4752 0.6666
0.9102 0.9752 0.3334
0.5898 0.4752 0.8334
0.0882 0.2500 0.9504
```

Properties
Energy: -2.890 eV/atom



[15]
This record from OQMD describes a relaxed ScSnIr2 crystal. The functional is PBE.

```
ScSnIr2
1.0
0.0000 3.2641 3.2641
3.2641 0.0000 3.2641
3.2641 3.2641 0.0000
Ir Sc Sn
2 1 1
Direct
0.7500 0.7500 0.7500
0.0000 0.0000 0.0000
0.2500 0.2500 0.2500
0.5000 0.5000 0.5000
```

Properties
Energy: -7.195 eV/atom



[16]
This record from OQMD describes a relaxed TbHo2Mg3TlGa2 crystal. The functional is PBE.

```
TbHo2Mg3TlGa2
1.0
-3.2366 2.3823 2.1152
-5.0049 -2.6726 -4.6484
1.4811 -3.5385 6.2518
Ga Mg Tb Ho Tl
2 3 1 2 1
Direct
0.5000 0.6671 0.3323
0.5000 0.3323 0.6671
0.5000 0.2505 0.2505
0.5000 0.7495 0.0000
0.5000 0.0000 0.7495
0.0000 0.5627 0.5627
0.0000 0.9996 0.4367
0.0000 0.4367 0.9996
0.0000 0.0015 0.0015
```

Properties
Energy: -3.420 eV/atom



[17]
This record from OQMD describes a relaxed PrGd2Al7Ag2 crystal. The functional is PBE.

```
PrGd2Al7Ag2
1.0
2.8075 1.6209 8.8510
-2.8075 1.6209 8.8510
0.0000 -3.2419 8.8510
Al Ag Gd Pr
7 2 2 1
Direct
0.5879 0.5879 0.0757
0.4121 0.4121 0.9243
0.5879 0.0757 0.5879
0.9243 0.4121 0.4121
0.4121 0.9243 0.4121
0.0757 0.5879 0.5879
0.5000 0.5000 0.5000
0.6641 0.6641 0.6641
0.3359 0.3359 0.3359
0.1420 0.1420 0.1420
0.8580 0.8580 0.8580
0.0000 0.0000 0.0000
```

Properties
Energy: -4.308 eV/atom



[18]
This record from OQMD describes a relaxed NdAsSe crystal. The functional is PBE.

```
NdAsSe
1.0
4.0290 -0.0140 0.0000
-0.0140 4.0300 0.0000
0.0000 0.0000 18.0385
Nd As Se
4 4 4
Direct
0.7562 0.2570 0.6398
0.7438 0.2430 0.1398
0.2562 0.7570 0.8602
0.2438 0.7430 0.3602
0.2222 0.2784 0.0000
0.2778 0.2216 0.5000
0.7778 0.7216 0.0000
0.7222 0.7784 0.5000
0.7537 0.2546 0.8125
0.2537 0.7546 0.6875
0.2463 0.7454 0.1875
0.7463 0.2454 0.3125
```

Properties
Energy: -5.759 eV/atom



[19]
This record from OQMD describes a relaxed Hf4Ta2Ge3C3 crystal. The functional is PBE.

```
Hf4Ta2Ge3C3
1.0
-4.9677 0.9209 -2.4557
-4.5865 0.7699 3.1508
5.5542 12.6822 -0.0360
Ge Ta C Hf
6 4 6 8
Direct
0.1079 0.8921 0.7500
0.4183 0.2751 0.7506
0.5817 0.7249 0.2494
0.2751 0.4183 0.2506
0.8921 0.1079 0.2500
0.7249 0.5817 0.7494
0.6407 0.4710 0.4134
0.3593 0.5290 0.5866
0.4710 0.6407 0.9134
0.5290 0.3593 0.0866
0.3345 0.8307 0.5000
0.6655 0.1693 0.5000
0.5000 0.0000 0.0000
0.8307 0.3345 0.0000
0.0000 0.5000 0.5000
0.1693 0.6655 0.0000
0.1958 0.0350 0.0956
0.8042 0.9650 0.9044
0.8677 0.6988 0.0955
0.9650 0.8042 0.4044
0.6988 0.8677 0.5955
0.3012 0.1323 0.4045
0.0350 0.1958 0.5956
0.1323 0.3012 0.9045
```

Properties
Energy: -9.483 eV/atom



[20]
This record from OQMD describes a relaxed CsErAlTe3 crystal. The functional is PBE.

```
CsErAlTe3
1.0
-0.0561 3.8253 7.7617
-4.0552 -5.2074 -5.5963
5.4639 -9.1365 4.5423
Al Er Te Cs
2 2 6 2
Direct
0.4812 0.5188 0.7500
0.5188 0.4812 0.2500
0.0000 0.0000 0.5000
0.0000 0.0000 0.0000
0.6151 0.3849 0.4395
0.0589 0.9411 0.7500
0.3849 0.6151 0.9395
0.9411 0.0589 0.2500
0.3849 0.6151 0.5605
0.6151 0.3849 0.0605
0.2531 0.7469 0.2500
0.7469 0.2531 0.7500
```

Properties
Energy relative to the lowest polymorph listed for this composition: 0 meV/atom
Energy: -4.039 eV/atom



[21]
This record from OQMD describes a relaxed ErLuMo2C3 crystal. The functional is PBE.

```
ErLuMo2C3
1.0
5.6335 -1.6762 0.0000
5.6335 1.6762 0.0000
-1.8056 0.0000 5.3367
Mo C Er Lu
2 3 1 1
Direct
0.1484 0.1484 0.8687
0.8514 0.8514 0.1310
0.9991 0.9991 0.9965
0.2703 0.2703 0.2475
0.7318 0.7318 0.7548
0.6147 0.6147 0.3194
0.3844 0.3844 0.6821
```

Properties
Energy: -8.705 eV/atom



[22]
This record from OQMD describes a relaxed Tl2ZnMo crystal. The functional is PBE.

```
Tl2ZnMo
1.0
0.0000 3.5594 3.5594
3.5594 0.0000 3.5594
3.5594 3.5594 0.0000
Tl Zn Mo
2 1 1
Direct
0.2500 0.2500 0.2500
0.5000 0.5000 0.5000
0.0000 0.0000 0.0000
0.7500 0.7500 0.7500
```

Properties
Energy: -3.349 eV/atom



[23]
This record from OQMD describes a relaxed RbDyCoSe3 crystal. The functional is PBE.

```
RbDyCoSe3
1.0
8.3700 -2.1397 0.0000
8.3700 2.1397 0.0000
-1.8405 0.0000 8.5642
Se Rb Co Dy
6 2 2 2
Direct
0.0000 0.0000 0.5000
0.6438 0.6438 0.7795
0.5000 0.5000 0.0000
0.3427 0.3427 0.6421
0.3562 0.3562 0.2205
0.6573 0.6573 0.3579
0.8499 0.8499 0.9313
0.1501 0.1501 0.0687
0.4969 0.4969 0.7149
0.5031 0.5031 0.2851
0.1670 0.1670 0.5825
0.8330 0.8330 0.4175
```

Properties
Energy: -4.784 eV/atom